# 1
Fe3PW: optimized geometry, PBE.

a b c (Å): 4.029 4.029 4.029
angles (deg): 90.00 90.00 90.00
Positions (direct):
1 Fe 0.500 0.000 0.000
2 P 0.000 0.000 0.000
3 W 0.500 0.500 0.500
4 Fe 0.000 0.500 0.000
5 Fe 0.000 0.000 0.500

**Crystal system**: cubic
**VASP energy**: -40.4 eV for the cell shown

***

# 2
BaTaOsO6: optimized geometry, PBE.

a b c (Å): 7.416 7.138 7.343
angles (deg): 119.08 120.33 90.00
Last column: magnetic moment on the atom in μB.
Positions (direct):
1 O 0.822 0.095 0.264  0.06
2 Os 0.500 0.500 0.000  0.98
3 O 0.178 0.331 0.736  0.06
4 Ba 0.828 0.578 0.656  0.01
5 O 0.822 0.669 0.264  0.06
6 Ta 0.500 0.000 0.500  0.02
7 O 0.545 0.295 0.090  0.05
8 O 0.455 0.705 0.910  0.05
9 O 0.183 0.933 0.365  0.04
10 O 0.817 0.067 0.635  0.04
11 Os 0.500 0.000 0.000  0.98
12 O 0.442 0.669 0.264  0.06
13 Ba 0.172 0.422 0.344  0.01
14 O 0.558 0.331 0.736  0.06
15 O 0.178 0.905 0.736  0.06
16 Ta 0.000 0.000 0.500  0.02
17 O 0.558 0.905 0.736  0.06
18 O 0.442 0.095 0.264  0.06

**Crystal system**: orthorhombic
**E_form (uncorrected)**: -18.981 eV per formula unit
**VASP energy**: -147.5 eV for the cell shown

***

# 3
TlHg3F: optimized geometry, PBE.

a b c (Å): 5.355 5.355 5.355
angles (deg): 90.00 90.00 90.00
Positions (direct):
1 F 0.000 0.000 0.000
2 Hg 0.000 0.000 0.500
3 Hg 0.000 0.500 0.000
4 Tl 0.500 0.500 0.500
5 Hg 0.500 0.000 0.000

**Crystal system**: cubic
**E_form (uncorrected)**: -1.539 eV per formula unit
**VASP energy**: -6.7 eV for the cell shown

***

# 4
AcNd3Sm4Se8: optimized geometry, PBE.

a b c (Å): 8.459 8.483 8.458
angles (deg): 119.92 120.01 90.00
Positions (direct):
1 Se 0.256 0.760 0.513
2 Sm 0.500 0.000 0.000
3 Sm 0.000 0.000 0.500
4 Nd 0.500 0.500 0.000
5 Sm 0.500 0.000 0.500
6 Nd 0.000 0.500 0.500
7 Se 0.253 0.240 0.996
8 Se 0.257 0.760 0.004
9 Ac 0.000 0.500 0.000
10 Se 0.747 0.760 0.004
11 Se 0.248 0.244 0.496
12 Nd 0.500 0.500 0.500
13 Se 0.744 0.240 0.487
14 Se 0.743 0.240 0.996
15 Se 0.752 0.756 0.504
16 Sm 0.000 0.000 0.000

**Crystal system**: trigonal
**E_form (uncorrected)**: -29.107 eV per formula unit
**VASP energy**: -94.3 eV for the cell shown

***

# 5
Cu3SiBr: optimized geometry, PBE.

a b c (Å): 4.648 4.648 4.648
angles (deg): 90.00 90.00 90.00
Positions (direct):
1 Cu 0.000 0.500 0.000
2 Si 0.500 0.500 0.500
3 Cu 0.000 0.000 0.500
4 Br 0.000 0.000 0.000
5 Cu 0.500 0.000 0.000

**Crystal system**: cubic
**E_form (uncorrected)**: 5.651 eV per formula unit
**VASP energy**: -13.7 eV for the cell shown

***

# 6
K2ZrBr: optimized geometry, PBE.

a b c (Å): 3.627 3.627 12.124
angles (deg): 90.00 90.00 117.79
Positions (direct):
1 K 0.500 0.500 0.283
2 Br 0.500 0.500 0.725
3 K 0.000 0.000 0.944
4 Zr 0.000 0.000 0.548

**Crystal system**: orthorhombic
**E_form (uncorrected)**: 0.029 eV per formula unit
**VASP energy**: -12.4 eV for the cell shown

***

# 7
CaDy2PuS4: optimized geometry, PBE.

a b c (Å): 3.936 6.849 6.846
angles (deg): 70.62 90.00 90.00
Last column: magnetic moment on the atom in μB.
Positions (direct):
1 S 0.000 0.754 0.749  -0.04
2 Dy 0.500 0.000 0.500  0.02
3 Pu 0.500 0.500 0.000  5.40
4 S 0.500 0.756 0.249  -0.02
5 S 0.500 0.244 0.751  -0.02
6 Ca 0.000 0.500 0.500  0.02
7 Dy 0.000 0.000 0.000  0.08
8 S 0.000 0.246 0.251  -0.04

**Crystal system**: monoclinic
**E_form (uncorrected)**: -15.771 eV per formula unit
**VASP energy**: -57.8 eV for the cell shown

***

# 8
TmSc4CuS8: optimized geometry, PBE.

a b c (Å): 7.528 7.528 7.602
angles (deg): 60.32 60.32 60.00
Positions (direct):
1 Cu 0.375 0.375 0.876
2 S 0.230 0.752 0.267
3 Tm 0.003 0.003 0.990
4 Sc 0.006 0.006 0.506
5 Sc 0.482 0.006 0.506
6 S 0.252 0.759 0.738
7 S 0.252 0.252 0.738
8 Sc 0.627 0.627 0.118
9 S 0.246 0.246 0.262
10 S 0.752 0.230 0.267
11 S 0.752 0.752 0.267
12 S 0.759 0.759 0.722
13 Sc 0.006 0.482 0.506
14 S 0.759 0.252 0.738

**Crystal system**: trigonal
**E_form (uncorrected)**: -24.069 eV per formula unit
**VASP energy**: -91.0 eV for the cell shown

***

# 9
Ac2LaBeO5: optimized geometry, PBE.

a b c (Å): 5.641 6.970 6.970
angles (deg): 90.00 90.00 90.00
Last column: magnetic moment on the atom in μB.
Positions (direct):
1 O 0.779 0.869 0.369  0.01
2 O 0.500 0.500 0.500  0.00
3 Be 0.000 0.000 0.500  0.02
4 Ac 0.500 0.172 0.328  0.02
5 O 0.221 0.369 0.131  0.01
6 O 0.779 0.631 0.869  0.01
7 Be 0.000 0.500 0.000  0.02
8 O 0.221 0.869 0.369  0.01
9 O 0.221 0.131 0.631  0.01
10 La 0.000 0.000 0.000  0.26
11 Ac 0.500 0.828 0.672  0.02
12 Ac 0.500 0.672 0.172  0.02
13 O 0.500 0.000 0.000  0.00
14 La 0.000 0.500 0.500  0.26
15 O 0.779 0.131 0.631  0.01
16 O 0.779 0.369 0.131  0.01
17 O 0.221 0.631 0.869  0.01
18 Ac 0.500 0.328 0.828  0.02

**Crystal system**: tetragonal
**E_form (uncorrected)**: -24.198 eV per formula unit
**VASP energy**: -131.7 eV for the cell shown

***

# 10
TaReTeN2: optimized geometry, PBE.

a b c (Å): 3.913 3.913 5.691
angles (deg): 90.00 90.00 90.00
Last column: magnetic moment on the atom in μB.
Positions (direct):
1 Te 0.000 0.000 0.500  -0.03
2 Re 0.000 0.000 0.000  0.13
3 N 0.000 0.500 0.000  -0.09
4 Ta 0.500 0.500 0.500  1.36
5 N 0.500 0.000 0.000  -0.09

**Crystal system**: tetragonal
**E_form (uncorrected)**: 5.264 eV per formula unit
**VASP energy**: -38.8 eV for the cell shown

***

# 11
AlCuTcNi2: optimized geometry, PBE.

a b c (Å): 4.230 4.535 4.230
angles (deg): 90.00 90.00 90.00
Last column: magnetic moment on the atom in μB.
Positions (direct):
1 Ni 0.000 0.000 0.500  0.55
2 Tc 0.000 0.500 0.000  1.51
3 Cu 0.500 0.500 0.500  0.14
4 Al 0.000 0.000 0.000  -0.02
5 Ni 0.500 0.000 0.000  0.40

**Crystal system**: tetragonal
**VASP energy**: -24.3 eV for the cell shown

***

# 12
MnCoSe2: optimized geometry, PBE.

a b c (Å): 2.829 4.691 7.055
angles (deg): 105.78 95.80 107.56
Last column: magnetic moment on the atom in μB.
Positions (direct):
1 Se 0.878 0.759 0.763  -0.07
2 Se 0.115 0.995 0.237  -0.07
3 Co 0.643 0.167 0.000  -0.82
4 Mn 0.365 0.616 0.000  1.54

**Crystal system**: monoclinic
**E_form (uncorrected)**: 0.425 eV per formula unit
**VASP energy**: -22.8 eV for the cell shown